<i>
Here is a geometry-optimized CdNiRu3 structure from the Alexandria database. Energies are from GGA-PBE.

Properties
- spin magnetization (μB per cell) = 5.53
- DOS at the Fermi energy (states/eV/f.u.) = 6.85
- space-group type = Pm-3m (221)
- calculated volume (A^3/atom) = 18.30

```
data_CdNiRu3
_cell_length_a 4.506
_cell_length_b 4.506
_cell_length_c 4.506
_cell_angle_alpha 90.00
_cell_angle_beta 90.00
_cell_angle_gamma 90.00
_symmetry_space_group_name_H-M 'P 1'
_symmetry_Int_Tables_number 1
_symmetry_space_group_name_Hall 'P 1'
loop_
_atom_site_label
_atom_site_type_symbol
_atom_site_fract_x
_atom_site_fract_y
_atom_site_fract_z
Cd1 Cd 0.000 0.000 0.000
Ni1 Ni 0.500 0.500 0.500
Ru1 Ru 0.000 0.500 0.500
Ru2 Ru 0.500 0.000 0.500
Ru3 Ru 0.500 0.500 0.000
```

---

<ii>
Here is a geometry-optimized CdNiRu3 structure from the Alexandria database. Energies are from GGA-PBE.

Properties
- spin magnetization (μB per cell) = 7.15
- DOS at the Fermi energy (states/eV/f.u.) = 8.49
- space-group type = Pm-3m (221)
- calculated volume (A^3/atom) = 23.07

```
data_CdNiRu3
_cell_length_a 4.868
_cell_length_b 4.868
_cell_length_c 4.868
_cell_angle_alpha 90.00
_cell_angle_beta 90.00
_cell_angle_gamma 90.00
_symmetry_space_group_name_H-M 'P 1'
_symmetry_Int_Tables_number 1
_symmetry_space_group_name_Hall 'P 1'
loop_
_atom_site_label
_atom_site_type_symbol
_atom_site_fract_x
_atom_site_fract_y
_atom_site_fract_z
Cd1 Cd 0.000 0.000 0.000
Ni1 Ni 0.500 0.500 0.500
Ru1 Ru 0.000 0.000 0.500
Ru2 Ru 0.000 0.500 0.000
Ru3 Ru 0.500 0.000 0.000
```

---

Least stable of them? <ii>.

---

<i>
Here is a geometry-optimized Cd3NiS structure from the Alexandria database. Energies are from GGA-PBE.

Properties
- spin magnetization (μB per cell) = 0.00
- DOS at the Fermi energy (states/eV/f.u.) = 2.71
- space-group type = Pm-3m (221)
- calculated volume (A^3/atom) = 23.92

```
data_Cd3NiS
_cell_length_a 4.927
_cell_length_b 4.927
_cell_length_c 4.927
_cell_angle_alpha 90.00
_cell_angle_beta 90.00
_cell_angle_gamma 90.00
_symmetry_space_group_name_H-M 'P 1'
_symmetry_Int_Tables_number 1
_symmetry_space_group_name_Hall 'P 1'
loop_
_atom_site_label
_atom_site_type_symbol
_atom_site_fract_x
_atom_site_fract_y
_atom_site_fract_z
Cd1 Cd 0.000 0.000 0.500
Cd2 Cd 0.000 0.500 0.000
Cd3 Cd 0.500 0.000 0.000
Ni1 Ni 0.000 0.000 0.000
S1 S 0.500 0.500 0.500
```

---

<ii>
Here is a geometry-optimized Cd3NiS structure from the Alexandria database. Energies are from GGA-PBE.

Properties
- spin magnetization (μB per cell) = 0.01
- DOS at the Fermi energy (states/eV/f.u.) = 5.47
- space-group type = Pm-3m (221)
- calculated volume (A^3/atom) = 26.08

```
data_Cd3NiS
_cell_length_a 5.071
_cell_length_b 5.071
_cell_length_c 5.071
_cell_angle_alpha 90.00
_cell_angle_beta 90.00
_cell_angle_gamma 90.00
_symmetry_space_group_name_H-M 'P 1'
_symmetry_Int_Tables_number 1
_symmetry_space_group_name_Hall 'P 1'
loop_
_atom_site_label
_atom_site_type_symbol
_atom_site_fract_x
_atom_site_fract_y
_atom_site_fract_z
Cd1 Cd 0.000 0.000 0.500
Cd2 Cd 0.000 0.500 0.000
Cd3 Cd 0.500 0.000 0.000
Ni1 Ni 0.500 0.500 0.500
S1 S 0.000 0.000 0.000
```

---

Least stable of them? <ii>.

---

<i>
Here is a geometry-optimized CdNiSb3 structure from the Alexandria database. Energies are from GGA-PBE.

Properties
- spin magnetization (μB per cell) = 0.00
- DOS at the Fermi energy (states/eV/f.u.) = 4.01
- space-group type = Pm-3m (221)
- calculated volume (A^3/atom) = 25.86

```
data_CdNiSb3
_cell_length_a 5.057
_cell_length_b 5.057
_cell_length_c 5.057
_cell_angle_alpha 90.00
_cell_angle_beta 90.00
_cell_angle_gamma 90.00
_symmetry_space_group_name_H-M 'P 1'
_symmetry_Int_Tables_number 1
_symmetry_space_group_name_Hall 'P 1'
loop_
_atom_site_label
_atom_site_type_symbol
_atom_site_fract_x
_atom_site_fract_y
_atom_site_fract_z
Cd1 Cd 0.000 0.000 0.000
Ni1 Ni 0.500 0.500 0.500
Sb1 Sb 0.000 0.500 0.500
Sb2 Sb 0.500 0.000 0.500
Sb3 Sb 0.500 0.500 0.000
```

---

<ii>
Here is a geometry-optimized CdNiSb3 structure from the Alexandria database. Energies are from GGA-PBE.

Properties
- spin magnetization (μB per cell) = 0.54
- DOS at the Fermi energy (states/eV/f.u.) = 4.89
- space-group type = Pm-3m (221)
- calculated volume (A^3/atom) = 32.36

```
data_CdNiSb3
_cell_length_a 5.449
_cell_length_b 5.449
_cell_length_c 5.449
_cell_angle_alpha 90.00
_cell_angle_beta 90.00
_cell_angle_gamma 90.00
_symmetry_space_group_name_H-M 'P 1'
_symmetry_Int_Tables_number 1
_symmetry_space_group_name_Hall 'P 1'
loop_
_atom_site_label
_atom_site_type_symbol
_atom_site_fract_x
_atom_site_fract_y
_atom_site_fract_z
Cd1 Cd 0.000 0.000 0.000
Ni1 Ni 0.500 0.500 0.500
Sb1 Sb 0.000 0.000 0.500
Sb2 Sb 0.000 0.500 0.000
Sb3 Sb 0.500 0.000 0.000
```

---

Least stable of them? <ii>.

---

<i>
Here is a geometry-optimized Cd2NiSb2 structure from the Alexandria database. Energies are from GGA-PBE.

Properties
- spin magnetization (μB per cell) = 0.00
- DOS at the Fermi energy (states/eV/f.u.) = 2.16
- space-group type = P4/mbm (127)
- calculated volume (A^3/atom) = 24.07

```
data_Cd2NiSb2
_cell_length_a 6.659
_cell_length_b 6.659
_cell_length_c 5.429
_cell_angle_alpha 90.00
_cell_angle_beta 90.00
_cell_angle_gamma 90.00
_symmetry_space_group_name_H-M 'P 1'
_symmetry_Int_Tables_number 1
_symmetry_space_group_name_Hall 'P 1'
loop_
_atom_site_label
_atom_site_type_symbol
_atom_site_fract_x
_atom_site_fract_y
_atom_site_fract_z
Cd1 Cd 0.170 0.330 0.000
Cd2 Cd 0.330 0.830 0.000
Cd3 Cd 0.670 0.170 0.000
Cd4 Cd 0.830 0.670 0.000
Ni1 Ni 0.000 0.000 0.500
Ni2 Ni 0.500 0.500 0.500
Sb1 Sb 0.158 0.658 0.500
Sb2 Sb 0.342 0.158 0.500
Sb3 Sb 0.658 0.842 0.500
Sb4 Sb 0.842 0.342 0.500
```

---

<ii>
Here is a geometry-optimized Cd2NiSb2 structure from the Alexandria database. Energies are from GGA-PBE.

Properties
- spin magnetization (μB per cell) = 0.00
- DOS at the Fermi energy (states/eV/f.u.) = 4.76
- space-group type = I4/mmm (139)
- calculated volume (A^3/atom) = 26.25

```
data_Cd2NiSb2
_cell_length_a 8.376
_cell_length_b 8.376
_cell_length_c 8.376
_cell_angle_alpha 151.77
_cell_angle_beta 151.77
_cell_angle_gamma 40.36
_symmetry_space_group_name_H-M 'P 1'
_symmetry_Int_Tables_number 1
_symmetry_space_group_name_Hall 'P 1'
loop_
_atom_site_label
_atom_site_type_symbol
_atom_site_fract_x
_atom_site_fract_y
_atom_site_fract_z
Cd1 Cd 0.086 0.086 0.000
Cd2 Cd 0.914 0.914 0.000
Ni1 Ni 0.500 0.500 0.000
Sb1 Sb 0.250 0.750 0.500
Sb2 Sb 0.750 0.250 0.500
```

---

Least stable of them? <ii>.

---

<i>
Here is a geometry-optimized Cd4NiSb structure from the Alexandria database. Energies are from GGA-PBE.

Properties
- spin magnetization (μB per cell) = 0.00
- DOS at the Fermi energy (states/eV/f.u.) = 2.68
- space-group type = F-43m (216)
- calculated volume (A^3/atom) = 22.02

```
data_Cd4NiSb
_cell_length_a 5.716
_cell_length_b 5.716
_cell_length_c 5.716
_cell_angle_alpha 60.00
_cell_angle_beta 60.00
_cell_angle_gamma 60.00
_symmetry_space_group_name_H-M 'P 1'
_symmetry_Int_Tables_number 1
_symmetry_space_group_name_Hall 'P 1'
loop_
_atom_site_label
_atom_site_type_symbol
_atom_site_fract_x
_atom_site_fract_y
_atom_site_fract_z
Cd1 Cd 0.124 0.124 0.124
Cd2 Cd 0.124 0.124 0.627
Cd3 Cd 0.124 0.627 0.124
Cd4 Cd 0.627 0.124 0.124
Ni1 Ni 0.750 0.750 0.750
Sb1 Sb 0.500 0.500 0.500
```

---

<ii>
Here is a geometry-optimized Cd4NiSb structure from the Alexandria database. Energies are from GGA-PBE.

Properties
- spin magnetization (μB per cell) = 0.00
- DOS at the Fermi energy (states/eV/f.u.) = 2.79
- space-group type = C2/m (12)
- calculated volume (A^3/atom) = 24.39

```
data_Cd4NiSb
_cell_length_a 7.907
_cell_length_b 7.907
_cell_length_c 5.376
_cell_angle_alpha 92.92
_cell_angle_beta 92.92
_cell_angle_gamma 60.72
_symmetry_space_group_name_H-M 'P 1'
_symmetry_Int_Tables_number 1
_symmetry_space_group_name_Hall 'P 1'
loop_
_atom_site_label
_atom_site_type_symbol
_atom_site_fract_x
_atom_site_fract_y
_atom_site_fract_z
Cd1 Cd 0.177 0.579 0.469
Cd2 Cd 0.202 0.798 0.000
Cd3 Cd 0.330 0.330 0.956
Cd4 Cd 0.421 0.823 0.531
Cd5 Cd 0.579 0.177 0.469
Cd6 Cd 0.670 0.670 0.044
Cd7 Cd 0.798 0.202 0.000
Cd8 Cd 0.823 0.421 0.531
Ni1 Ni 0.500 0.500 0.244
Ni2 Ni 0.500 0.500 0.756
Sb1 Sb 0.166 0.166 0.261
Sb2 Sb 0.834 0.834 0.739
```

---

Least stable of them? <i>.

---

<i>
Here is a geometry-optimized ScCd4Ni structure from the Alexandria database. Energies are from GGA-PBE.

Properties
- spin magnetization (μB per cell) = 0.00
- DOS at the Fermi energy (states/eV/f.u.) = 4.61
- space-group type = C2/m (12)
- calculated volume (A^3/atom) = 20.55

```
data_ScCd4Ni
_cell_length_a 7.988
_cell_length_b 7.988
_cell_length_c 5.296
_cell_angle_alpha 109.33
_cell_angle_beta 109.33
_cell_angle_gamma 51.69
_symmetry_space_group_name_H-M 'P 1'
_symmetry_Int_Tables_number 1
_symmetry_space_group_name_Hall 'P 1'
loop_
_atom_site_label
_atom_site_type_symbol
_atom_site_fract_x
_atom_site_fract_y
_atom_site_fract_z
Sc1 Sc 0.205 0.205 0.207
Sc2 Sc 0.795 0.795 0.793
Cd1 Cd 0.104 0.654 0.379
Cd2 Cd 0.195 0.805 0.000
Cd3 Cd 0.327 0.327 0.828
Cd4 Cd 0.346 0.896 0.621
Cd5 Cd 0.654 0.104 0.379
Cd6 Cd 0.673 0.673 0.172
Cd7 Cd 0.805 0.195 0.000
Cd8 Cd 0.896 0.346 0.621
Ni1 Ni 0.500 0.500 0.275
Ni2 Ni 0.500 0.500 0.725
```

---

<ii>
Here is a geometry-optimized ScCd4Ni structure from the Alexandria database. Energies are from GGA-PBE.

Properties
- spin magnetization (μB per cell) = 0.02
- DOS at the Fermi energy (states/eV/f.u.) = 5.13
- space-group type = F-43m (216)
- calculated volume (A^3/atom) = 20.68

```
data_ScCd4Ni
_cell_length_a 5.599
_cell_length_b 5.599
_cell_length_c 5.599
_cell_angle_alpha 60.00
_cell_angle_beta 60.00
_cell_angle_gamma 60.00
_symmetry_space_group_name_H-M 'P 1'
_symmetry_Int_Tables_number 1
_symmetry_space_group_name_Hall 'P 1'
loop_
_atom_site_label
_atom_site_type_symbol
_atom_site_fract_x
_atom_site_fract_y
_atom_site_fract_z
Sc1 Sc 0.000 0.000 0.000
Cd1 Cd 0.126 0.625 0.625
Cd2 Cd 0.625 0.126 0.625
Cd3 Cd 0.625 0.625 0.126
Cd4 Cd 0.625 0.625 0.625
Ni1 Ni 0.250 0.250 0.250
```

---

Least stable of them? <ii>.